# 1
## Al2GaOs (PBE)

Data for an optimized crystal structure of Al2GaOs.

Computed properties:
As for the magnetization: 1.0 μB/cell. The electronic total energy comes out at -5.166 eV per atom. For the formation energy, the calculation gives 0.27 eV/atom.

Cell lengths 3.8503, 3.8503, 17.8038 Å; angles 90.00, 90.00, 90.00 degrees
Space group I-42d (No. 122)
Unique sites:
Al1 0.2391 0.2500 0.1250 (multiplicity 8)
Ga1 0.0000 0.0000 0.5000 (multiplicity 4)
Os1 0.0000 0.0000 0.0000 (multiplicity 4)



# 2
## CrTe3Pd (PBE)

Data for an optimized crystal structure of CrTe3Pd.

Computed properties:
As for the magnetization: 16.9 μB/cell. The energy relative to the elements, uncorrected comes out at -102 kJ/mol of formula units. The electronic total energy comes out at -5.060 eV per atom. For the excess energy over the best structure of this formula in the dataset, the calculation gives 0.0000 eV/atom.

Cell lengths 7.0951, 7.0951, 16.9403 Å; angles 90.00, 90.00, 120.00 degrees
Space group R-3 (No. 148, hexagonal axes)
Unique sites:
Cr1 0.0000 0.0000 0.1608 (multiplicity 6)
Te1 0.0003 0.3231 0.7535 (multiplicity 18)
Pd1 0.0000 0.0000 0.3417 (multiplicity 6)